No. 1
This record from Alexandria via LeMat-Bulk describes crystalline Zn3Cu4Ni4 at its relaxed geometry. The functional is PBE.

a = 2.637 Å, b = 3.490 Å, c = 14.437 Å
α = 96.94°, β = 95.30°, γ = 89.95°
Fractional coordinates of all 11 atoms:
1 Cu 0.909 0.910 0.819
2 Zn 0.000 0.000 0.000
3 Zn 0.362 0.362 0.725
4 Cu 0.091 0.090 0.181
5 Ni 0.546 0.546 0.091
6 Ni 0.182 0.183 0.365
7 Ni 0.454 0.454 0.909
8 Cu 0.273 0.272 0.544
9 Ni 0.817 0.817 0.635
10 Zn 0.638 0.638 0.275
11 Cu 0.727 0.728 0.456

Output
SG: No. 2

No. 2
This record from Alexandria via LeMat-Bulk describes crystalline Zn4CuNi at its relaxed geometry. The functional is PBE.

a = 5.134 Å, b = 7.122 Å, c = 5.788 Å
α = 127.96°, β = 92.55°, γ = 90.00°
Fractional coordinates of all 12 atoms:
1 Ni 0.500 0.000 0.500
2 Zn 0.370 0.810 0.746
3 Zn 0.870 0.310 0.746
4 Cu 0.750 0.750 0.000
5 Zn 0.370 0.435 0.746
6 Ni 0.000 0.500 0.500
7 Zn 0.630 0.190 0.254
8 Zn 0.130 0.065 0.254
9 Zn 0.630 0.565 0.254
10 Zn 0.130 0.690 0.254
11 Cu 0.250 0.250 0.000
12 Zn 0.870 0.935 0.746

Output
SG: No. 12
Distance to the lowest polymorph of the same formula: 86 meV per atom

No. 3
This record from Alexandria via LeMat-Bulk describes crystalline Zn3Cu2Ni3 at its relaxed geometry. The functional is PBE.

a = 4.403 Å, b = 4.207 Å, c = 10.468 Å
α = 90.00°, β = 90.00°, γ = 90.01°
Fractional coordinates of all 16 atoms:
1 Zn 0.316 0.750 0.994
2 Cu 0.825 0.750 0.874
3 Zn 0.316 0.750 0.506
4 Cu 0.825 0.750 0.626
5 Ni 0.683 0.250 0.250
6 Ni 0.317 0.750 0.750
7 Ni 0.827 0.750 0.128
8 Cu 0.175 0.250 0.126
9 Zn 0.684 0.250 0.494
10 Zn 0.664 0.250 0.750
11 Zn 0.336 0.750 0.250
12 Zn 0.684 0.250 0.006
13 Ni 0.173 0.250 0.872
14 Ni 0.173 0.250 0.628
15 Cu 0.175 0.250 0.374
16 Ni 0.827 0.750 0.372

Output
SG: No. 59
Distance to the lowest polymorph of the same formula: 20 meV per atom

ΔE_f values (in eV/atom) by entry order: -0.10; -0.03; -0.13.